Here is crystalline CsCd2Sb at its relaxed geometry from the Alexandria database. Energies are from PBE.

## Properties
As for the crystal system: tetragonal. The calculation puts the energy relative to the elements, uncorrected at -0.200 eV per atom. The total DFT energy (no corrections) is -15.21 eV/cell.

a b c (Å): 4.739 4.739 13.680
angles (deg): 90.00 90.00 90.00
Atoms (fractional coordinates):
Cs: 0.250 0.250 0.240
Cs: 0.750 0.750 0.760
Cd: 0.250 0.250 0.963
Cd: 0.250 0.750 0.500
Cd: 0.750 0.250 0.500
Cd: 0.750 0.750 0.037
Sb: 0.250 0.250 0.631
Sb: 0.750 0.750 0.369